[1]
ScAgCl2 | GGA-PBE | relaxed

mass density	4.60	g cm⁻³
energy	-3.922	eV per atom
polymorph energy (0 for the lowest one)	0.437	eV per atom
raw formation energy	-703	meV per atom
size of the total moment	0.0	μB per formula unit

```
data_ScAgCl2
_chemical_formula_sum 'Sc1 Ag1 Cl2'
_cell_length_a 4.705
_cell_length_b 3.389
_cell_length_c 5.421
_cell_angle_alpha 90.00
_cell_angle_beta 110.72
_cell_angle_gamma 90.00
_symmetry_space_group_name_H-M 'P 1 2/m 1'
_symmetry_Int_Tables_number 10
loop_
_symmetry_equiv_pos_as_xyz
'x,y,z'
'-x,-y,-z'
'-x,y,-z'
'x,-y,z'
loop_
_atom_site_label
_atom_site_type_symbol
_atom_site_fract_x
_atom_site_fract_y
_atom_site_fract_z
Sc1 Sc 0.000 0.000 0.000
Ag1 Ag 0.500 0.500 0.500
Cl1 Cl 0.000 0.000 0.500
Cl2 Cl 0.500 0.500 0.000
```

---

[2]
ScAgCl2 | GGA-PBE | relaxed

mass density	3.72	g cm⁻³
energy	-3.890	eV per atom
polymorph energy (0 for the lowest one)	0.469	eV per atom
raw formation energy	-671	meV per atom
size of the total moment	0.0	μB per formula unit

```
data_ScAgCl2
_chemical_formula_sum 'Sc3 Ag3 Cl6'
_cell_length_a 3.7178
_cell_length_b 3.7178
_cell_length_c 25.0481
_cell_angle_alpha 90.00
_cell_angle_beta 90.00
_cell_angle_gamma 120.00
_symmetry_space_group_name_H-M 'R -3 m'
_symmetry_Int_Tables_number 166
_symmetry_space_group_name_Hall '-R 3 2"'
loop_
_atom_site_label
_atom_site_type_symbol
_atom_site_fract_x
_atom_site_fract_y
_atom_site_fract_z
Sc1 Sc 0.0000 0.0000 0.0000
Ag1 Ag 0.0000 0.0000 0.5000
Cl1 Cl 0.0000 0.0000 0.0984
```

---

[3]
ScAgCl | GGA-PBE | relaxed

mass density	4.42	g cm⁻³
energy	-4.018	eV per atom
polymorph energy (0 for the lowest one)	0.446	eV per atom
raw formation energy	-342	meV per atom
size of the total moment	0.9	μB per formula unit

```
data_ScAgCl
_chemical_formula_sum 'Sc4 Ag4 Cl4'
_cell_length_a 6.564
_cell_length_b 6.564
_cell_length_c 6.564
_cell_angle_alpha 90.00
_cell_angle_beta 90.00
_cell_angle_gamma 90.00
_symmetry_space_group_name_H-M 'F -4 3 m'
_symmetry_Int_Tables_number 216
_symmetry_space_group_name_Hall 'F -4 2 3'
loop_
_atom_site_label
_atom_site_type_symbol
_atom_site_fract_x
_atom_site_fract_y
_atom_site_fract_z
Sc1 Sc 0.000 0.000 0.000
Ag1 Ag 0.250 0.250 0.750
Cl1 Cl 0.250 0.250 0.250
```